Entry i
Compound: Ba2NaTlH
Source: Alexandria
Functional: PBE-GGA
Structure: relaxed

Unit cell a=5.827 b=5.827 c=4.693 alpha=90.00 beta=90.00 gamma=90.00
Fractional positions:
Na: 0.000 0.000 0.500
Tl: 0.500 0.500 0.500
H: 0.000 0.000 0.000
Ba: 0.500 0.000 0.000
Ba: 0.000 0.500 0.000

Summary:
SG = P4/mmm (123)
Fermi-level density of states = 0.396 states/eV/atom
Mass density = 5.24 Mg/m³

Entry ii
Compound: Ba2NaTlH
Source: Alexandria
Functional: PBE-GGA
Structure: relaxed

Unit cell a=5.817 b=4.931 c=5.817 alpha=90.00 beta=90.00 gamma=90.00
Fractional positions:
Ba: 0.000 0.000 0.500
Ba: 0.500 0.000 0.000
Na: 0.500 0.500 0.500
H: 0.000 0.000 0.000
Tl: 0.000 0.500 0.000

Summary:
SG = P4/mmm (123)
Fermi-level density of states = 0.734 states/eV/atom
Mass density = 5.01 Mg/m³

Most stable one: entry i, least stable one: entry ii.

Entry i
Compound: Ba2NaZnH
Source: Alexandria
Functional: PBE-GGA
Structure: relaxed

Unit cell a=5.701 b=5.701 c=4.755 alpha=90.00 beta=90.00 gamma=90.00
Fractional positions:
Ba: 0.500 0.000 0.000
Ba: 0.000 0.500 0.000
Zn: 0.000 0.000 0.500
Na: 0.500 0.500 0.500
H: 0.000 0.000 0.000

Summary:
SG = P4/mmm (123)
Fermi-level density of states = 0.981 states/eV/atom
Mass density = 3.91 Mg/m³

Entry ii
Compound: Ba2NaZnH
Source: Alexandria
Functional: PBE-GGA
Structure: relaxed

Unit cell a=5.745 b=5.745 c=4.641 alpha=90.00 beta=90.00 gamma=90.00
Fractional positions:
Ba: 0.500 0.000 0.000
Zn: 0.500 0.500 0.500
Na: 0.000 0.000 0.500
Ba: 0.000 0.500 0.000
H: 0.000 0.000 0.000

Summary:
SG = P4/mmm (123)
Fermi-level density of states = 0.678 states/eV/atom
Mass density = 3.95 Mg/m³

Most stable one: entry ii, least stable one: entry i.